1.
DFT (GGA-PBE) results for crystalline Ce4BiSb3 at its relaxed geometry.

Cell: 6.4039 6.4039 6.4039 Å, 90.00 90.00 90.00°
Sites, in units of the cell vectors:
Ce 0.0000 0.0000 0.0000
Ce 0.0000 0.5000 0.5000
Ce 0.5000 0.0000 0.5000
Ce 0.5000 0.5000 0.0000
Bi 0.5000 0.5000 0.5000
Sb 0.0000 0.0000 0.5000
Sb 0.0000 0.5000 0.0000
Sb 0.5000 0.0000 0.0000

## Properties
theoretical density	7.175	g/cm3
DOS at the Fermi energy	26.5	states/eV/f.u.
raw total energy	-5.97	eV/atom
formation energy (no corrections)	-973	meV/atom

2.
DFT (GGA-PBE) results for crystalline IrC2 at its relaxed geometry.

Cell: 2.5796 2.5796 9.7853 Å, 90.00 90.00 120.00°
Sites, in units of the cell vectors:
Ir 0.3333 0.6667 0.2500
Ir 0.6667 0.3333 0.7500
C 0.3333 0.6667 0.0159
C 0.3333 0.6667 0.4841
C 0.6667 0.3333 0.5159
C 0.6667 0.3333 0.9841

## Properties
excess energy over the best structure of this formula in the dataset	13	meV per atom
theoretical density	12.735	g/cm3
calculated formation energy	0.60	eV per atom
DOS at the Fermi energy	2.4	states/eV/f.u.
raw total energy	-8.50	eV/atom

- Which of these has the lowest theoretical density?
  Ce4BiSb3

- The highest theoretical density belongs to which entry?
  IrC2